No. 1
Material: Mg14AlZn
Method: DFT, GGA-PBE
State: optimized geometry

Values from the calculation:
The calculation puts the volume at 21.84 Å³/atom. As for the density of states at the Fermi level: 8.5 states/eV/f.u. Its total moment is 0.00 μB per formula unit. The energy relative to the lowest polymorph listed for this composition is 3 meV per atom.

Geometry as CIF:
```
data_Mg14AlZn
_symmetry_space_group_name_H-M 'A m m 2'
_symmetry_Int_Tables_number 38
_cell_length_a 10.0917
_cell_length_b 6.3621
_cell_length_c 10.8858
_cell_angle_alpha 90.00
_cell_angle_beta 90.00
_cell_angle_gamma 90.00
loop_
_symmetry_equiv_pos_as_xyz
'x,y,z'
'-x,-y,z'
'-x,y,z'
'x,-y,z'
'x,y+1/2,z+1/2'
'-x,-y+1/2,z+1/2'
'-x,y+1/2,z+1/2'
'x,-y+1/2,z+1/2'
loop_
_atom_site_label
_atom_site_type_symbol
_atom_site_fract_x
_atom_site_fract_y
_atom_site_fract_z
Mg1 Mg 0.0000 0.0000 0.9997
Mg2 Mg 0.0000 0.0000 0.5000
Mg3 Mg 0.0000 0.2502 0.2476
Mg4 Mg 0.2528 0.0000 0.3318
Mg5 Mg 0.2540 0.0000 0.8321
Mg6 Mg 0.2631 0.2487 0.0786
Mg7 Mg 0.5000 0.2499 0.2532
Al1 Al 0.5000 0.0000 0.4962
Zn1 Zn 0.5000 0.0000 0.9949
```

=====

No. 2
Material: Pu2ZrPd
Method: DFT, GGA-PBE
State: optimized geometry

Values from the calculation:
The calculation puts the volume at 21.87 Å³/atom. As for the density of states at the Fermi level: 11.3 states/eV/f.u. Its total moment is 11.57 μB per formula unit. The energy relative to the lowest polymorph listed for this composition is 0 meV per atom.

Geometry as CIF:
```
data_Pu2ZrPd
_symmetry_space_group_name_H-M 'P 4/m m m'
_symmetry_Int_Tables_number 123
_symmetry_space_group_name_Hall '-P 4 2'
_cell_length_a 4.1438
_cell_length_b 4.1438
_cell_length_c 5.0935
_cell_angle_alpha 90.00
_cell_angle_beta 90.00
_cell_angle_gamma 90.00
loop_
_atom_site_label
_atom_site_type_symbol
_atom_site_fract_x
_atom_site_fract_y
_atom_site_fract_z
Pu1 Pu 0.0000 0.5000 0.0000
Zr1 Zr 0.0000 0.0000 0.5000
Pd1 Pd 0.5000 0.5000 0.5000
```

=====

No. 3
Material: LaMnBr
Method: DFT, GGA-PBE
State: optimized geometry

Values from the calculation:
The calculation puts the volume at 24.20 Å³/atom. As for the density of states at the Fermi level: 3.0 states/eV/f.u. Its total moment is 3.21 μB per formula unit. As for the uncorrected formation energy: -0.158 eV/atom.

Geometry as CIF:
```
data_LaMnBr
_symmetry_space_group_name_H-M 'P -6 m 2'
_symmetry_Int_Tables_number 187
_symmetry_space_group_name_Hall 'P -6 2'
_cell_length_a 4.8410
_cell_length_b 4.8410
_cell_length_c 3.5775
_cell_angle_alpha 90.00
_cell_angle_beta 90.00
_cell_angle_gamma 120.00
loop_
_atom_site_label
_atom_site_type_symbol
_atom_site_fract_x
_atom_site_fract_y
_atom_site_fract_z
La1 La 0.0000 0.0000 0.0000
Mn1 Mn 0.6667 0.3333 0.5000
Br1 Br 0.3333 0.6667 0.5000
```

=====

No. 4
Material: KTaCu2Se4
Method: DFT, GGA-PBE
State: optimized geometry

Values from the calculation:
The calculation puts the volume at 27.11 Å³/atom. As for the density of states at the Fermi level: 0.0 states/eV/f.u. Its total moment is 0.00 μB per formula unit. The energy relative to the lowest polymorph listed for this composition is 0 meV per atom. As for the uncorrected formation energy: -0.744 eV/atom.

Geometry as CIF:
```
data_KTaCu2Se4
_symmetry_space_group_name_H-M 'A m a 2'
_symmetry_Int_Tables_number 40
_cell_length_a 7.8307
_cell_length_b 19.3280
_cell_length_c 5.7321
_cell_angle_alpha 90.00
_cell_angle_beta 90.00
_cell_angle_gamma 90.00
loop_
_symmetry_equiv_pos_as_xyz
'x,y,z'
'-x,-y,z'
'-x+1/2,y,z'
'x+1/2,-y,z'
'x,y+1/2,z+1/2'
'-x,-y+1/2,z+1/2'
'-x+1/2,y+1/2,z+1/2'
'x+1/2,-y+1/2,z+1/2'
loop_
_atom_site_label
_atom_site_type_symbol
_atom_site_fract_x
_atom_site_fract_y
_atom_site_fract_z
K1 K 0.2500 0.1842 0.0000
Ta1 Ta 0.2500 0.3918 0.2639
Cu1 Cu 0.0000 0.0000 0.7488
Cu2 Cu 0.2500 0.3931 0.7640
Se1 Se 0.0041 0.1068 0.5170
Se2 Se 0.2500 0.2902 0.5114
Se3 Se 0.2500 0.4967 0.5108
```

=====

No. 5
Material: CsNdCu2Br6
Method: DFT, GGA-PBE
State: optimized geometry

Values from the calculation:
The calculation puts the volume at 34.92 Å³/atom. As for the density of states at the Fermi level: 0.0 states/eV/f.u. Its total moment is 0.00 μB per formula unit. As for the uncorrected formation energy: -1.178 eV/atom.

Geometry as CIF:
```
data_CsNdCu2Br6
_symmetry_space_group_name_H-M 'C 1 2/c 1'
_symmetry_Int_Tables_number 15
_cell_length_a 10.7264
_cell_length_b 14.5943
_cell_length_c 9.4075
_cell_angle_alpha 90.00
_cell_angle_beta 108.47
_cell_angle_gamma 90.00
loop_
_symmetry_equiv_pos_as_xyz
'x,y,z'
'-x,-y,-z'
'-x,y,-z+1/2'
'x,-y,z+1/2'
'x+1/2,y+1/2,z'
'-x+1/2,-y+1/2,-z'
'-x+1/2,y+1/2,-z+1/2'
'x+1/2,-y+1/2,z+1/2'
loop_
_atom_site_label
_atom_site_type_symbol
_atom_site_fract_x
_atom_site_fract_y
_atom_site_fract_z
Cs1 Cs 0.0000 0.1419 0.2500
Nd1 Nd 0.0000 0.4407 0.7500
Cu1 Cu 0.2452 0.1316 0.7416
Br1 Br 0.0283 0.3867 0.0709
Br2 Br 0.1824 0.2799 0.7769
Br3 Br 0.2137 0.0034 0.5899
```

=====

No. 6
Material: BaCu2Te
Method: DFT, GGA-PBE
State: optimized geometry

Values from the calculation:
The calculation puts the volume at 26.14 Å³/atom. As for the density of states at the Fermi level: 1.7 states/eV/f.u. Its total moment is 0.00 μB per formula unit. As for the uncorrected formation energy: -0.236 eV/atom.

Geometry as CIF:
```
data_BaCu2Te
_symmetry_space_group_name_H-M 'C 1 2/m 1'
_symmetry_Int_Tables_number 12
_cell_length_a 8.8993
_cell_length_b 4.3168
_cell_length_c 5.8436
_cell_angle_alpha 90.00
_cell_angle_beta 111.35
_cell_angle_gamma 90.00
loop_
_symmetry_equiv_pos_as_xyz
'x,y,z'
'-x,-y,-z'
'-x,y,-z'
'x,-y,z'
'x+1/2,y+1/2,z'
'-x+1/2,-y+1/2,-z'
'-x+1/2,y+1/2,-z'
'x+1/2,-y+1/2,z'
loop_
_atom_site_label
_atom_site_type_symbol
_atom_site_fract_x
_atom_site_fract_y
_atom_site_fract_z
Ba1 Ba 0.0000 0.0000 0.0000
Cu1 Cu 0.2194 0.0000 0.5981
Te1 Te 0.0000 0.5000 0.5000
```